The following is a PBE calculation of a relaxed SrInAu2 crystal, from Alexandria via LeMat-Bulk.

Lattice parameters (Å, degrees): 5.226 5.226 9.823 74.57 74.57 90.00
Sites, in units of the cell vectors:
Sr 0.500 0.500 0.000
Sr 0.250 0.750 0.500
Au 0.742 0.125 0.250
Au 0.008 0.625 0.250
Au 0.375 0.258 0.750
Au 0.875 0.992 0.750
In 0.000 0.000 0.000
In 0.750 0.250 0.500

Results
Crystal system: tetragonal
Energy of formation from the pure elements, meV/atom: -339
Calculated density, g cm⁻³: 8.0

=====

The following is a PBE calculation of a relaxed SrTiCu2Pd crystal, from Alexandria via LeMat-Bulk.

Lattice parameters (Å, degrees): 4.943 4.647 4.943 90.00 90.00 90.00
Sites, in units of the cell vectors:
Sr 0.500 0.500 0.500
Cu 0.000 0.000 0.500
Cu 0.500 0.000 0.000
Pd 0.000 0.000 0.000
Ti 0.000 0.500 0.000

Results
Crystal system: tetragonal
Energy of formation from the pure elements, meV/atom: 256
Calculated density, g cm⁻³: 5.4

=====

The following is a PBE calculation of a relaxed Ti4HgH crystal, from Alexandria via LeMat-Bulk.

Lattice parameters (Å, degrees): 3.883 3.883 6.381 90.00 90.00 90.00
Sites, in units of the cell vectors:
Ti 0.500 0.500 0.825
Ti 0.500 0.500 0.175
Ti 0.500 0.000 0.500
Ti 0.000 0.500 0.500
Hg 0.000 0.000 0.000
H 0.500 0.500 0.500

Results
Crystal system: tetragonal
Final energy, eV/cell: -33.4
Calculated density, g cm⁻³: 6.8

=====

The following is a PBE calculation of a relaxed TmCdPt2 crystal, from Alexandria via LeMat-Bulk.

Lattice parameters (Å, degrees): 3.633 4.569 4.569 90.00 90.00 90.00
Sites, in units of the cell vectors:
Tm 0.500 0.000 0.000
Pt 0.000 0.000 0.500
Pt 0.000 0.500 0.000
Cd 0.500 0.500 0.500

Results
Crystal system: tetragonal
Energy of formation from the pure elements, meV/atom: -843
Calculated density, g cm⁻³: 14.7

=====

Question: Among the records above, which one has the lowest calculated density?
Answer: SrTiCu2Pd